DFT (PBE) results for an optimized crystal structure of CsCrH3.

Values from the calculation:
- calculated volume (Å³/cell) = 70.9
- magnetic moment (μB/atom) = 0.80
- calculated total energy (eV/atom) = -3.961

a = 4.1385 Å, b = 4.1385 Å, c = 4.1385 Å
α = 90.00°, β = 90.00°, γ = 90.00°
Element x y z (fractional)
Cs1 0.0000 0.0000 0.0000
Cr1 0.5000 0.5000 0.5000
H1 0.0000 0.5000 0.5000
H2 0.5000 0.0000 0.5000
H3 0.5000 0.5000 0.0000

***

DFT (PBE) results for an optimized crystal structure of PaReP2Ru.

Values from the calculation:
- calculated volume (Å³/cell) = 161.8
- magnetic moment (μB/atom) = 0.00
- calculated total energy (eV/atom) = -9.171

a = 4.1220 Å, b = 4.1220 Å, c = 9.5237 Å
α = 90.00°, β = 90.00°, γ = 90.00°
Element x y z (fractional)
Pa1 0.0000 0.0000 0.0000
Pa2 0.5000 0.5000 0.5000
Re1 0.0000 0.5000 0.2500
Re2 0.5000 0.0000 0.7500
P1 0.0000 0.0000 0.3747
P2 0.0000 0.0000 0.6253
P3 0.5000 0.5000 0.1253
P4 0.5000 0.5000 0.8747
Ru1 0.0000 0.5000 0.7500
Ru2 0.5000 0.0000 0.2500

***

DFT (PBE) results for an optimized crystal structure of SrGa2Te.

Values from the calculation:
- energy relative to the elements, uncorrected (meV/atom) = -728.2
- calculated volume (Å³/cell) = 238.3
- magnetic moment (μB/atom) = 0.00

a = 4.6531 Å, b = 4.6710 Å, c = 12.8093 Å
α = 79.92°, β = 80.68°, γ = 60.78°
Element x y z (fractional)
Sr1 0.0000 0.0000 0.0000
Sr2 0.4160 0.4386 0.6872
Ga1 0.2887 0.2764 0.1704
Ga2 0.2900 0.8752 0.3514
Ga3 0.6319 0.5953 0.1700
Ga4 0.9438 0.5930 0.3469
Te1 0.1204 0.1591 0.5394
Te2 0.7052 0.7186 0.8463